# RbVPb2

A geometry-optimized RbVPb2 structure (GGA-PBE, the Alexandria database).

## Properties
- DFT formation energy (eV per atom) = 0.49
- final energy (eV/atom) = -3.8876
- N(E_F) (states/eV/cell) = 19.4
- M_tot (μB/f.u.) = 1.70

Cell: 6.4038 6.4038 17.3533 Å, 90.00 90.00 90.00°
Space group I-42d (No. 122)
Symmetry-distinct sites (fractional):
Rb1 0.0000 0.0000 0.0000 [4 per cell]
V1 0.0000 0.0000 0.5000 [4 per cell]
Pb1 0.0015 0.2500 0.6250 [8 per cell]